Entry 1:
! PBE TlZnPt2N, optimized geometry; values from VASP
&SYSTEM
  ibrav = 0, nat = 5, ntyp = 4
/
ATOMIC_SPECIES
Zn 65.41 Zn.upf
Pt 195.08 Pt.upf
N 14.01 N.upf
Tl 204.38 Tl.upf
ATOMIC_POSITIONS angstrom
Zn 0.0000 0.0000 0.0000
Pt 1.7054 1.2016 1.3048
Pt -1.3389 -0.3151 2.0403
N 0.8622 -1.5742 0.3227
Tl 1.2287 -0.6877 3.6678
CELL_PARAMETERS angstrom
-2.6779 -0.6302 4.0805
1.7244 -3.1484 0.6454
3.4109 2.4031 2.6096
! Raw total energy (eV/cell): -19.489
! Magnetization (μB per formula unit): 0.4
! Uncorrected formation energy (eV/atom): 0.91
! Mass density (g/cm3): 12.67
! Symmetry: P4/mmm, No. 123



Entry 2:
! PBE TcAgF5, optimized geometry; values from VASP
&SYSTEM
  ibrav = 0, nat = 14, ntyp = 3
/
ATOMIC_SPECIES
F 19.00 F.upf
Ag 107.87 Ag.upf
Tc 98.00 Tc.upf
ATOMIC_POSITIONS angstrom
F 3.0344 -8.8610 0.3614
F 2.0446 -3.5334 -1.4473
Ag 0.5970 -5.2121 -2.2320
F 2.2215 -9.4061 -3.0706
Tc 0.0000 0.0000 0.0000
Tc 3.1275 -2.4164 -0.2848
F -1.3374 -5.0655 -0.6960
F 5.6036 -7.8740 -3.8219
F 2.4833 -6.2438 -3.8720
F 1.7829 -6.6957 -0.6459
Ag 3.6691 -7.7274 -2.2859
F -0.7419 -6.6967 -3.4701
F 5.0080 -6.2427 -1.0479
F 1.2318 -4.0785 -4.8793
CELL_PARAMETERS angstrom
-1.7516 -5.4056 1.1837
-0.2372 -2.7011 -5.1320
6.2549 -4.8327 -0.5696
! Raw total energy (eV/cell): -70.252
! Magnetization (μB per formula unit): 3.0
! Uncorrected formation energy (eV/atom): -1.79
! Mass density (g/cm3): 4.23
! Symmetry: C2/c, No. 15



Entry 3:
! PBE Ta2VTc, optimized geometry; values from VASP
&SYSTEM
  ibrav = 0, nat = 8, ntyp = 3
/
ATOMIC_SPECIES
Ta 180.95 Ta.upf
Tc 98.00 Tc.upf
V 50.94 V.upf
ATOMIC_POSITIONS angstrom
Ta -5.3084 -5.6688 0.3766
Tc -6.8020 -4.2093 -1.1033
V -3.0011 -3.9134 -1.0039
V -3.2698 -7.3578 0.6111
Ta -8.2988 -9.7251 -0.6129
Ta -1.4360 -5.4367 0.5107
Tc 0.0000 0.0000 0.0000
Ta -5.1004 -2.3036 -1.2587
CELL_PARAMETERS angstrom
-6.5333 -0.7649 -2.7183
0.5311 -7.0619 0.7106
-4.0696 -3.7403 1.5155
! Raw total energy (eV/cell): -81.914
! Magnetization (μB per formula unit): 0.0
! ΔE to the lowest computed polymorph (meV/atom): 840
! Formation energy from the elements (eV per atom): 0.56
! Mass density (g/cm3): 12.21
! Symmetry: I-42d, No. 122



Entry 4:
! PBE TbTmZn, optimized geometry; values from VASP
&SYSTEM
  ibrav = 0, nat = 3, ntyp = 3
/
ATOMIC_SPECIES
Zn 65.41 Zn.upf
Tb 158.93 Tb.upf
Tm 168.93 Tm.upf
ATOMIC_POSITIONS angstrom
Zn 2.2226 -1.0161 1.0938
Tb 0.7548 -3.1805 -0.4058
Tm 3.9914 -2.1099 -1.0863
CELL_PARAMETERS angstrom
-2.2050 -4.3779 0.4089
2.5066 1.1197 -4.0888
3.9681 1.0211 2.7311
! Raw total energy (eV/cell): -10.316
! Magnetization (μB per formula unit): 0.0
! ΔE to the lowest computed polymorph (meV/atom): 232
! Formation energy from the elements (eV per atom): 0.02
! Mass density (g/cm3): 7.75
! Symmetry: I-4m2, No. 119